Record 1
DFT (GGA-PBE) results for a relaxed Pu6OsAu crystal.

The structure in CIF format:
```
data_Pu6OsAu
_chemical_formula_sum 'Pu6 Os1 Au1'
_cell_length_a 4.680
_cell_length_b 4.680
_cell_length_c 8.641
_cell_angle_alpha 90.00
_cell_angle_beta 90.00
_cell_angle_gamma 90.00
_symmetry_space_group_name_H-M 'P 4/m m m'
_symmetry_Int_Tables_number 123
_symmetry_space_group_name_Hall '-P 4 2'
loop_
_atom_site_label
_atom_site_fract_x
_atom_site_fract_y
_atom_site_fract_z
Pu1 0.000 0.000 0.000
Pu2 0.000 0.000 0.500
Pu3 0.000 0.500 0.229
Os1 0.500 0.500 0.000
Au1 0.500 0.500 0.500
```

Uncorrected energy (eV per formula unit): -99.926
E_form (eV/atom): 0.072


Record 2
DFT (GGA-PBE) results for a relaxed PuThOsAu crystal.

The structure in CIF format:
```
data_PuThOsAu
_chemical_formula_sum 'Pu4 Th4 Os4 Au4'
_cell_length_a 7.150
_cell_length_b 7.150
_cell_length_c 7.150
_cell_angle_alpha 90.00
_cell_angle_beta 90.00
_cell_angle_gamma 90.00
_symmetry_space_group_name_H-M 'F -4 3 m'
_symmetry_Int_Tables_number 216
_symmetry_space_group_name_Hall 'F -4 2 3'
loop_
_atom_site_label
_atom_site_fract_x
_atom_site_fract_y
_atom_site_fract_z
Pu1 0.000 0.000 0.000
Th1 0.000 0.000 0.500
Os1 0.250 0.250 0.250
Au1 0.250 0.250 0.750
```

Uncorrected energy (eV per formula unit): -37.186
E_form (eV/atom): -0.232


Record 3
DFT (GGA-PBE) results for a relaxed YPuOsAu crystal.

The structure in CIF format:
```
data_YPuOsAu
_chemical_formula_sum 'Y4 Pu4 Os4 Au4'
_cell_length_a 7.011
_cell_length_b 7.011
_cell_length_c 7.011
_cell_angle_alpha 90.00
_cell_angle_beta 90.00
_cell_angle_gamma 90.00
_symmetry_space_group_name_H-M 'F -4 3 m'
_symmetry_Int_Tables_number 216
_symmetry_space_group_name_Hall 'F -4 2 3'
loop_
_atom_site_label
_atom_site_fract_x
_atom_site_fract_y
_atom_site_fract_z
Y1 0.000 0.000 0.000
Pu1 0.000 0.000 0.500
Os1 0.250 0.250 0.250
Au1 0.250 0.250 0.750
```

Uncorrected energy (eV per formula unit): -36.263
E_form (eV/atom): -0.240


Record 4
DFT (GGA-PBE) results for a relaxed PuZrOsAu crystal.

The structure in CIF format:
```
data_PuZrOsAu
_chemical_formula_sum 'Pu4 Zr4 Os4 Au4'
_cell_length_a 6.866
_cell_length_b 6.866
_cell_length_c 6.866
_cell_angle_alpha 90.00
_cell_angle_beta 90.00
_cell_angle_gamma 90.00
_symmetry_space_group_name_H-M 'F -4 3 m'
_symmetry_Int_Tables_number 216
_symmetry_space_group_name_Hall 'F -4 2 3'
loop_
_atom_site_label
_atom_site_fract_x
_atom_site_fract_y
_atom_site_fract_z
Pu1 0.000 0.000 0.000
Zr1 0.000 0.000 0.500
Os1 0.250 0.250 0.750
Au1 0.250 0.250 0.250
```

Uncorrected energy (eV per formula unit): -38.078
E_form (eV/atom): -0.173


For reference, magnetic moment by record: 34.17 5.57 5.28 5.36 μB per formula unit.